Entry 1:
# PBE YBeIr, optimized geometry
# E above lowest polymorph, eV per formula unit: 0.03
# Calculated formation energy, kJ/mol of formula units: -190
# Spin magnetization, μB per formula unit: 0.0
data_YBeIr
_chemical_formula_sum 'Y1 Be1 Ir1'
_cell_length_a 3.924
_cell_length_b 3.924
_cell_length_c 4.012
_cell_angle_alpha 90.00
_cell_angle_beta 90.00
_cell_angle_gamma 120.00
_symmetry_space_group_name_H-M 'P 1'
_symmetry_Int_Tables_number 1
loop_
_symmetry_equiv_pos_as_xyz
'x,y,z'
loop_
_atom_site_label
_atom_site_type_symbol
_atom_site_fract_x
_atom_site_fract_y
_atom_site_fract_z
Y1 Y 0.333 0.667 0.667
Be1 Be 0.000 0.000 0.167
Ir1 Ir 0.667 0.333 0.167

---

Entry 2:
# PBE Sm3SeO3, optimized geometry
# Raw formation energy, meV/atom: -2965
# Spin magnetization, μB per formula unit: 0.0
data_Sm3SeO3
_chemical_formula_sum 'Sm6 Se2 O6'
_cell_length_a 6.807
_cell_length_b 6.807
_cell_length_c 7.964
_cell_angle_alpha 64.70
_cell_angle_beta 64.70
_cell_angle_gamma 60.00
_symmetry_space_group_name_H-M 'P 1'
_symmetry_Int_Tables_number 1
loop_
_symmetry_equiv_pos_as_xyz
'x,y,z'
loop_
_atom_site_label
_atom_site_type_symbol
_atom_site_fract_x
_atom_site_fract_y
_atom_site_fract_z
Sm1 Sm 0.235 0.573 0.287
Sm2 Sm 0.904 0.235 0.287
Sm3 Sm 0.573 0.904 0.287
Sm4 Sm 0.427 0.096 0.713
Sm5 Sm 0.096 0.765 0.713
Sm6 Sm 0.765 0.427 0.713
Se1 Se 0.333 0.333 0.000
Se2 Se 0.667 0.667 0.000
O1 O 0.456 0.791 0.628
O2 O 0.791 0.124 0.628
O3 O 0.124 0.456 0.628
O4 O 0.876 0.544 0.372
O5 O 0.209 0.876 0.372
O6 O 0.544 0.209 0.372

---

Entry 3:
# PBE NdEuC, optimized geometry
# Calculated formation energy, kJ/mol of formula units: 11
# Spin magnetization, μB per formula unit: 7.3
data_NdEuC
_chemical_formula_sum 'Nd1 Eu1 C1'
_cell_length_a 3.742
_cell_length_b 3.742
_cell_length_c 6.752
_cell_angle_alpha 90.00
_cell_angle_beta 90.00
_cell_angle_gamma 120.00
_symmetry_space_group_name_H-M 'P 1'
_symmetry_Int_Tables_number 1
loop_
_symmetry_equiv_pos_as_xyz
'x,y,z'
loop_
_atom_site_label
_atom_site_type_symbol
_atom_site_fract_x
_atom_site_fract_y
_atom_site_fract_z
Eu1 Eu 0.000 0.000 0.116
C1 C 0.667 0.333 0.349
Nd1 Nd 0.333 0.667 0.535

---

Entry 4:
# PBE ZrPa2Au, optimized geometry
# E above lowest polymorph, eV per formula unit: 0.69
# Calculated formation energy, kJ/mol of formula units: 28
# Spin magnetization, μB per formula unit: 0.0
data_ZrPa2Au
_chemical_formula_sum 'Zr1 Pa2 Au1'
_cell_length_a 3.875
_cell_length_b 3.875
_cell_length_c 6.452
_cell_angle_alpha 90.00
_cell_angle_beta 90.00
_cell_angle_gamma 90.00
_symmetry_space_group_name_H-M 'P 1'
_symmetry_Int_Tables_number 1
loop_
_symmetry_equiv_pos_as_xyz
'x,y,z'
loop_
_atom_site_label
_atom_site_type_symbol
_atom_site_fract_x
_atom_site_fract_y
_atom_site_fract_z
Pa1 Pa 0.000 0.000 0.774
Pa2 Pa 0.000 0.000 0.226
Au1 Au 0.500 0.500 0.000
Zr1 Zr 0.500 0.500 0.500

---

Entry 5:
# PBE MgCd6Pd5, optimized geometry
# Calculated formation energy, kJ/mol of formula units: -435
# Spin magnetization, μB per formula unit: 0.0
data_MgCd6Pd5
_chemical_formula_sum 'Mg1 Cd6 Pd5'
_cell_length_a 4.304
_cell_length_b 7.823
_cell_length_c 7.804
_cell_angle_alpha 120.08
_cell_angle_beta 106.01
_cell_angle_gamma 90.00
_symmetry_space_group_name_H-M 'P 1'
_symmetry_Int_Tables_number 1
loop_
_symmetry_equiv_pos_as_xyz
'x,y,z'
loop_
_atom_site_label
_atom_site_type_symbol
_atom_site_fract_x
_atom_site_fract_y
_atom_site_fract_z
Mg1 Mg 0.000 0.000 0.000
Pd1 Pd 0.351 0.851 0.703
Pd2 Pd 0.676 0.676 0.352
Pd3 Pd 0.000 0.500 0.000
Pd4 Pd 0.324 0.324 0.648
Pd5 Pd 0.649 0.149 0.297
Cd1 Cd 0.171 0.434 0.342
Cd2 Cd 0.171 0.908 0.342
Cd3 Cd 0.500 0.272 0.000
Cd4 Cd 0.500 0.728 0.000
Cd5 Cd 0.829 0.092 0.658
Cd6 Cd 0.829 0.566 0.658

---

Entry 6:
# PBE GdUOsRu, optimized geometry
# Calculated formation energy, kJ/mol of formula units: -33
# Spin magnetization, μB per formula unit: 5.5
data_GdUOsRu
_chemical_formula_sum 'Gd1 U1 Os1 Ru1'
_cell_length_a 4.825
_cell_length_b 4.825
_cell_length_c 4.825
_cell_angle_alpha 60.00
_cell_angle_beta 60.00
_cell_angle_gamma 60.00
_symmetry_space_group_name_H-M 'P 1'
_symmetry_Int_Tables_number 1
loop_
_symmetry_equiv_pos_as_xyz
'x,y,z'
loop_
_atom_site_label
_atom_site_type_symbol
_atom_site_fract_x
_atom_site_fract_y
_atom_site_fract_z
Os1 Os 0.500 0.500 0.500
Gd1 Gd 0.250 0.250 0.250
U1 U 0.750 0.750 0.750
Ru1 Ru 0.000 0.000 0.000

---

Entry 7:
# PBE TlTcNi3, optimized geometry
# E above lowest polymorph, eV per formula unit: 0.00
# Calculated formation energy, kJ/mol of formula units: 544
# Spin magnetization, μB per formula unit: 0.0
data_TlTcNi3
_chemical_formula_sum 'Tl1 Tc1 Ni3'
_cell_length_a 4.549
_cell_length_b 4.549
_cell_length_c 4.549
_cell_angle_alpha 90.00
_cell_angle_beta 90.00
_cell_angle_gamma 90.00
_symmetry_space_group_name_H-M 'P 1'
_symmetry_Int_Tables_number 1
loop_
_symmetry_equiv_pos_as_xyz
'x,y,z'
loop_
_atom_site_label
_atom_site_type_symbol
_atom_site_fract_x
_atom_site_fract_y
_atom_site_fract_z
Ni1 Ni 0.000 0.500 0.000
Ni2 Ni 0.000 0.000 0.500
Ni3 Ni 0.500 0.000 0.000
Tl1 Tl 0.500 0.500 0.500
Tc1 Tc 0.000 0.000 0.000

---

Entry 8:
# PBE LaPrPt, optimized geometry
# E above lowest polymorph, eV per formula unit: 0.06
# Calculated formation energy, kJ/mol of formula units: -200
# Spin magnetization, μB per formula unit: 0.0
data_LaPrPt
_chemical_formula_sum 'La1 Pr1 Pt1'
_cell_length_a 5.085
_cell_length_b 5.085
_cell_length_c 5.085
_cell_angle_alpha 60.00
_cell_angle_beta 60.00
_cell_angle_gamma 60.00
_symmetry_space_group_name_H-M 'P 1'
_symmetry_Int_Tables_number 1
loop_
_symmetry_equiv_pos_as_xyz
'x,y,z'
loop_
_atom_site_label
_atom_site_type_symbol
_atom_site_fract_x
_atom_site_fract_y
_atom_site_fract_z
Pr1 Pr 0.500 0.500 0.500
Pt1 Pt 0.250 0.250 0.250
La1 La 0.000 0.000 0.000